# ErUTl2S4

ErUTl2S4 after structural relaxation (PBE, Alexandria via LeMat-Bulk).

Formation energy (no corrections) in kcal/mol of atoms: -28.41
VASP energy in eV per cell: -46.95
Fermi-level density of states in states/eV/atom: 0.765

Unit cell a=4.0151 b=6.9440 c=7.9480 alpha=107.00 beta=90.00 gamma=90.00
Last column: nearest neighbours and their distance in Å.
Positions (direct):
S 0.0000 0.7337 0.1954  1 Er 2.74, 2 U 2.76
S 0.5000 0.7710 0.8057  2 Er 2.74, 1 U 2.76
S 0.5000 0.2290 0.1943  2 Er 2.74, 1 U 2.76
S 0.0000 0.2663 0.8046  1 Er 2.74, 2 U 2.76
U 0.5000 0.5000 0.0000  6 S 2.76
Er 0.0000 0.0000 0.0000  6 S 2.74
Tl 0.5000 0.0000 0.5000  6 S 3.27
Tl 0.0000 0.5000 0.5000  6 S 3.29

# YErTl2S4

YErTl2S4 after structural relaxation (PBE, Alexandria via LeMat-Bulk).

Formation energy (no corrections) in kcal/mol of atoms: -34.39
VASP energy in eV per cell: -44.20
Fermi-level density of states in states/eV/atom: 0.000

Unit cell a=4.0154 b=6.9557 c=7.8720 alpha=107.12 beta=90.00 gamma=90.00
Last column: nearest neighbours and their distance in Å.
Positions (direct):
S 0.0000 0.7350 0.1976  1 Er 2.74, 2 Y 2.76
S 0.5000 0.7702 0.8034  2 Er 2.74, 1 Y 2.76
S 0.0000 0.2650 0.8024  1 Er 2.74, 2 Y 2.76
S 0.5000 0.2298 0.1966  2 Er 2.74, 1 Y 2.76
Tl 0.5000 0.0000 0.5000  6 S 3.24
Tl 0.0000 0.5000 0.5000  6 S 3.26
Y 0.5000 0.5000 0.0000  6 S 2.76
Er 0.0000 0.0000 0.0000  6 S 2.74

no.,total magnetization (Bohr magnetons per cell)
1,3.01
2,0.00